Sm6Co2Ag: optimized geometry, GGA-PBE.

Values from the calculation:
crystal system = orthorhombic

Structure (POSCAR):
```
Sm6Co2Ag
1.0
-4.7240 4.9353 5.0266
4.7240 -4.9353 5.0266
4.7240 4.9353 -5.0266
Sm Co Ag
12 4 2
Direct
0.0314 0.2309 0.8005
0.1803 0.2839 0.4642
0.1803 0.7161 0.8964
0.3239 0.0112 0.6872
0.3239 0.6367 0.3128
0.4303 0.2309 0.1995
0.5697 0.7691 0.8005
0.6761 0.3633 0.6872
0.6761 0.9888 0.3128
0.8197 0.2839 0.1036
0.8197 0.7161 0.5358
0.9686 0.7691 0.1995
0.1134 0.6134 0.5000
0.3414 0.0000 0.3414
0.6586 0.0000 0.6586
0.8866 0.3866 0.5000
0.0000 0.0000 0.0000
0.5000 0.5000 0.0000
```

AcLa3Tm8: optimized geometry, GGA-PBE.

Values from the calculation:
crystal system = orthorhombic

Structure (POSCAR):
```
AcLa3Tm8
1.0
-3.1695 5.7227 5.9111
3.1695 -5.7227 5.9111
3.1695 5.7227 -5.9111
Ac La Tm
1 3 8
Direct
0.0000 0.0000 0.0000
0.2534 0.5000 0.7534
0.5000 0.0000 0.5000
0.7466 0.5000 0.2466
0.0702 0.8196 0.2505
0.2559 0.0069 0.7510
0.2559 0.5049 0.2490
0.4309 0.1804 0.2505
0.5691 0.8196 0.7495
0.7441 0.4951 0.7510
0.7441 0.9931 0.2490
0.9298 0.1804 0.7495
```

| no. | total energy (eV per atom) | DOS at the Fermi energy (states/eV/f.u.) | energy of formation (meV per atom) |
| --- | --- | --- | --- |
| 1 | -5.18 | 9.20 | -142 |
| 2 | -4.28 | 19.54 | 276 |